(1)
Density functional theory data (PBE-GGA) for crystalline Li3Tb2YS6 at its relaxed geometry.

Summary:
Magnetization = 0.00 μB/atom

Cell lengths 6.803, 11.784, 6.581 Å; angles 90.00, 110.14, 90.00 degrees
Space group C2/m (No. 12)
One atom of each set of equivalent atoms:
Li (0.000, 0.000, 0.000) x2
Li (0.000, 0.334, 0.000) x4
Tb (0.000, 0.167, 0.500) x4
Y (0.000, 0.500, 0.500) x2
S (0.249, 0.500, 0.249) x4
S (0.250, 0.166, 0.249) x8


(2)
Density functional theory data (PBE-GGA) for crystalline LiTbY4S8 at its relaxed geometry.

Summary:
Magnetization = 0.00 μB/atom

Cell lengths 8.0225, 8.0225, 19.6797 Å; angles 90.00, 90.00, 120.00 degrees
Space group R3m (No. 160, hexagonal axes)
One atom of each set of equivalent atoms:
Li (0.0000, 0.0000, 0.0000) x3
Tb (0.0000, 0.0000, 0.6296) x3
Y (0.0000, 0.0000, 0.2500) x3
Y (0.1728, 0.3455, 0.4568) x9
S (0.0000, 0.0000, 0.3835) x3
S (0.0000, 0.0000, 0.8684) x3
S (0.0170, 0.5085, 0.3773) x9
S (0.1778, 0.3555, 0.2052) x9


(3)
Density functional theory data (PBE-GGA) for crystalline LiTbZrS4 at its relaxed geometry.

Summary:
Magnetization = 0.00 μB/atom

Cell lengths 7.576, 7.931, 11.020 Å; angles 90.00, 90.00, 90.00 degrees
Space group Imma (No. 74)
One atom of each set of equivalent atoms:
Li (0.000, 0.250, 0.122) x4
Tb (0.000, 0.000, 0.500) x4
Zr (0.250, 0.250, 0.750) x4
S (0.000, 0.024, 0.750) x8
S (0.247, 0.250, 0.517) x8


(4)
Density functional theory data (PBE-GGA) for crystalline Li3TbZr2S6 at its relaxed geometry.

Summary:
Magnetization = 0.00 μB/atom

Cell lengths 6.435, 11.146, 6.601 Å; angles 90.00, 109.00, 90.00 degrees
Space group C2/m (No. 12)
One atom of each set of equivalent atoms:
Li (0.000, 0.000, 0.000) x2
Li (0.000, 0.335, 0.000) x4
Tb (0.000, 0.500, 0.500) x2
Zr (0.000, 0.167, 0.500) x4
S (0.238, 0.000, 0.753) x4
S (0.243, 0.173, 0.248) x8


(5)
Density functional theory data (PBE-GGA) for crystalline Li2TbZrS4 at its relaxed geometry.

Summary:
Magnetization = 0.00 μB/atom

Cell lengths 6.564, 3.755, 6.574 Å; angles 90.00, 109.25, 90.00 degrees
Space group P2/m (No. 10)
One atom of each set of equivalent atoms:
Li (0.000, 0.000, 0.000) x1
Li (0.500, 0.500, 0.000) x1
Tb (0.000, 0.500, 0.500) x1
Zr (0.500, 0.000, 0.500) x1
S (0.260, 0.500, 0.250) x2
S (0.264, 0.000, 0.755) x2


(6)
Density functional theory data (PBE-GGA) for crystalline Li3TcS at its relaxed geometry.

Summary:
ΔE to the lowest computed polymorph = 0 meV/atom
Magnetization = 0.80 μB/atom

Cell lengths 4.567, 4.567, 4.567 Å; angles 90.00, 90.00, 90.00 degrees
Space group Pm-3m (No. 221)
One atom of each set of equivalent atoms:
Li (0.000, 0.000, 0.500) x3
Tc (0.500, 0.500, 0.500) x1
S (0.000, 0.000, 0.000) x1


| no. | raw formation energy (meV/atom) | raw total energy (eV for the cell shown) |
| --- | --- | --- |
| 1 | -1847 | -136.781 |
| 2 | -1973 | -279.135 |
| 3 | -1708 | -174.236 |
| 4 | -1608 | -143.047 |
| 5 | -1656 | -46.765 |
| 6 | 215 | -19.160 |